Below is a geometry-optimized LaPr5N6 structure, with properties calculated at the PBE-GGA level. Values from VASP.

Quantum ESPRESSO input file:
```
&SYSTEM
  ibrav = 0, nat = 12, ntyp = 3
/
ATOMIC_SPECIES
Pr 140.91 Pr.upf
N 14.01 N.upf
La 138.91 La.upf
CELL_PARAMETERS angstrom
-3.767 -5.036 -1.244
2.531 -5.265 2.640
-1.577 -1.659 5.989
ATOMIC_POSITIONS angstrom
Pr -2.511 -4.502 3.806
Pr -0.302 -7.458 3.579
Pr 0.319 -2.308 2.875
Pr -0.618 -5.151 0.698
Pr 0.635 -4.616 5.753
N -3.139 -4.768 1.293
N -2.813 -7.079 4.157
N -0.930 -7.718 1.044
N 0.000 -4.881 3.228
N 0.326 -7.191 6.092
N -0.306 -2.583 0.353
La 0.000 0.000 0.000
```

Output
ΔE_f (raw): -1294 meV/atom
Total magnetic moment: 0.0 μB/f.u.
DFT total energy: -94.306 eV/cell
DOS(E_F): 0.901 states/eV/f.u.